[1]
Entry from Alexandria: a PBEsol-optimized structure of TcP (meta-GGA SCAN).

Cell lengths 5.6408, 3.0306, 6.1896 Å; angles 90.00, 90.00, 90.00 degrees
Closest atoms and distances in Å follow each position.
Fractional coordinates of all 8 atoms:
Tc: 0.0082 0.2500 0.1988  6 P 2.40-2.45
Tc: 0.4918 0.7500 0.6988  6 P 2.40-2.45
Tc: 0.5082 0.2500 0.3012  6 P 2.40-2.45
Tc: 0.9918 0.7500 0.8012  6 P 2.40-2.45
P: 0.1869 0.2500 0.5586  6 Tc 2.40-2.45
P: 0.3131 0.7500 0.0586  6 Tc 2.40-2.45
P: 0.6869 0.2500 0.9414  6 Tc 2.40-2.45
P: 0.8131 0.7500 0.4414  6 Tc 2.40-2.45

## Properties
E above lowest polymorph in meV/atom: 0
VASP energy in eV/cell: -186.77
Calculated formation energy in eV/atom: -0.6174
Theoretical density in kg/m³: 8096
DOS at the Fermi energy in states/eV/f.u.: 1.38


[2]
Entry from Alexandria: a PBEsol-optimized structure of TcP (meta-GGA SCAN).

Cell lengths 8.1352, 3.0164, 6.5027 Å; angles 90.00, 100.24, 90.00 degrees
Closest atoms and distances in Å follow each position.
Fractional coordinates of all 12 atoms:
Tc: 0.0000 0.0000 0.0000  7 P 2.39-2.53
Tc: 0.0852 0.0000 0.5982  7 P 2.39-2.57
Tc: 0.2627 0.5000 0.2983  4 P 2.31-2.49
Tc: 0.5000 0.5000 0.0000  7 P 2.39-2.53
Tc: 0.5852 0.5000 0.5982  7 P 2.39-2.57
Tc: 0.7627 0.0000 0.2983  4 P 2.31-2.49
P: 0.2027 0.5000 0.9089  6 Tc 2.39-2.57, 2 P 2.66
P: 0.3831 0.0000 0.6959  5 Tc 2.39-2.53, 2 P 2.66
P: 0.4786 0.0000 0.2962  7 Tc 2.31-2.51
P: 0.7027 0.0000 0.9089  6 Tc 2.39-2.57, 2 P 2.66
P: 0.8831 0.5000 0.6959  5 Tc 2.39-2.53, 2 P 2.66
P: 0.9786 0.5000 0.2962  7 Tc 2.31-2.51

## Properties
E above lowest polymorph in meV/atom: 137
VASP energy in eV/cell: -278.52
Calculated formation energy in eV/atom: -0.4805
Theoretical density in kg/m³: 8183
DOS at the Fermi energy in states/eV/f.u.: 0.71


[3]
Entry from Alexandria: a PBEsol-optimized structure of TcP (meta-GGA SCAN).

Cell lengths 3.2982, 3.2982, 2.9134 Å; angles 90.00, 90.00, 120.00 degrees
Closest atoms and distances in Å follow each position.
Fractional coordinates of all 2 atoms:
Tc: 0.0000 0.0000 0.0000  6 P 2.40
P: 0.6667 0.3333 0.5000  6 Tc 2.40

## Properties
E above lowest polymorph in meV/atom: 104
VASP energy in eV/cell: -46.49
Calculated formation energy in eV/atom: -0.5133
Theoretical density in kg/m³: 7803
DOS at the Fermi energy in states/eV/f.u.: 0.81


[4]
Entry from Alexandria: a PBEsol-optimized structure of Tc2TeP (meta-GGA SCAN).

Cell lengths 3.0962, 3.5524, 6.0996 Å; angles 90.00, 104.34, 90.00 degrees
Closest atoms and distances in Å follow each position.
Fractional coordinates of all 4 atoms:
Tc: 0.1535 0.0000 0.3003  2 P 2.27
Tc: 0.8465 0.0000 0.6997  2 P 2.27
Te: 0.5000 0.5000 0.0000  8 Tc 2.94-2.96, 2 P 3.06, 2 Te 3.10
P: 0.0000 0.5000 0.5000  4 Tc 2.27

## Properties
E above lowest polymorph in meV/atom: 65
VASP energy in eV/cell: -117.04
Theoretical density in kg/m³: 9058
DOS at the Fermi energy in states/eV/f.u.: 2.83


[5]
Entry from Alexandria: a PBEsol-optimized structure of Tc2TeP (meta-GGA SCAN).

Cell lengths 3.1125, 4.0250, 5.0989 Å; angles 90.00, 90.00, 90.00 degrees
Closest atoms and distances in Å follow each position.
Fractional coordinates of all 4 atoms:
Tc: 0.0000 0.0000 0.0000  4 P 2.54
Tc: 0.5000 0.0000 0.5000  4 Te 2.54
Te: 0.0000 0.5000 0.5000  4 Tc 2.54
P: 0.5000 0.5000 0.0000  4 Tc 2.54

## Properties
E above lowest polymorph in meV/atom: 574
VASP energy in eV/cell: -115.00
Theoretical density in kg/m³: 9217
DOS at the Fermi energy in states/eV/f.u.: 3.67


[6]
Entry from Alexandria: a PBEsol-optimized structure of TcTeP3 (meta-GGA SCAN).

Cell lengths 4.9167, 4.9167, 4.9167 Å; angles 90.00, 90.00, 90.00 degrees
Closest atoms and distances in Å follow each position.
Fractional coordinates of all 5 atoms:
Tc: 0.0000 0.0000 0.0000  12 P 3.48
Te: 0.5000 0.5000 0.5000  6 P 2.46
P: 0.0000 0.5000 0.5000  2 Te 2.46
P: 0.5000 0.0000 0.5000  2 Te 2.46
P: 0.5000 0.5000 0.0000  2 Te 2.46

## Properties
VASP energy in eV/cell: -94.35
Theoretical density in kg/m³: 4450
DOS at the Fermi energy in states/eV/f.u.: 3.55


[7]
Entry from Alexandria: a PBEsol-optimized structure of Tc2TeP (meta-GGA SCAN).

Cell lengths 4.0019, 4.0019, 7.7504 Å; angles 90.00, 90.00, 90.00 degrees
Closest atoms and distances in Å follow each position.
Fractional coordinates of all 8 atoms:
Tc: 0.0000 0.0000 0.0000  4 Tc 2.79, 4 P 2.79, 4 Te 2.83
Tc: 0.0000 0.5000 0.2500  4 Tc 2.79, 4 Te 2.79, 4 P 2.83
Tc: 0.5000 0.0000 0.7500  4 Tc 2.79, 4 Te 2.79, 4 P 2.83
Tc: 0.5000 0.5000 0.5000  4 Tc 2.79, 4 P 2.79, 4 Te 2.83
Te: 0.0000 0.0000 0.5000  8 Tc 2.79-2.83, 4 P 2.79
Te: 0.5000 0.5000 0.0000  8 Tc 2.79-2.83, 4 P 2.79
P: 0.0000 0.5000 0.7500  8 Tc 2.79-2.83, 4 Te 2.79
P: 0.5000 0.0000 0.2500  8 Tc 2.79-2.83, 4 Te 2.79

## Properties
E above lowest polymorph in meV/atom: 431
VASP energy in eV/cell: -231.15
Theoretical density in kg/m³: 9487
DOS at the Fermi energy in states/eV/f.u.: 3.59


[8]
Entry from Alexandria: a PBEsol-optimized structure of Tc2TeP (meta-GGA SCAN).

Cell lengths 6.1925, 6.1925, 6.1925 Å; angles 90.00, 90.00, 90.00 degrees
Closest atoms and distances in Å follow each position.
Fractional coordinates of all 16 atoms:
Tc: 0.2500 0.2500 0.2500  4 Te 2.68, 4 P 2.68
Tc: 0.2500 0.2500 0.7500  4 Te 2.68, 4 P 2.68
Tc: 0.2500 0.7500 0.2500  4 Te 2.68, 4 P 2.68
Tc: 0.2500 0.7500 0.7500  4 Te 2.68, 4 P 2.68
Tc: 0.7500 0.2500 0.2500  4 Te 2.68, 4 P 2.68
Tc: 0.7500 0.2500 0.7500  4 Te 2.68, 4 P 2.68
Tc: 0.7500 0.7500 0.2500  4 Te 2.68, 4 P 2.68
Tc: 0.7500 0.7500 0.7500  4 Te 2.68, 4 P 2.68
Te: 0.0000 0.0000 0.0000  8 Tc 2.68
Te: 0.0000 0.5000 0.5000  8 Tc 2.68
Te: 0.5000 0.0000 0.5000  8 Tc 2.68
Te: 0.5000 0.5000 0.0000  8 Tc 2.68
P: 0.0000 0.0000 0.5000  8 Tc 2.68
P: 0.0000 0.5000 0.0000  8 Tc 2.68
P: 0.5000 0.0000 0.0000  8 Tc 2.68
P: 0.5000 0.5000 0.5000  8 Tc 2.68

## Properties
E above lowest polymorph in meV/atom: 0
VASP energy in eV/cell: -469.19
Theoretical density in kg/m³: 9918
DOS at the Fermi energy in states/eV/f.u.: 1.62